# 1
The following is a PBE calculation of a relaxed HfZn2Ni crystal, from Alexandria via LeMat-Bulk.

Lattice parameters (Å, degrees): 2.859 2.859 28.363 90.00 90.00 120.00
Positions (direct):
1 Hf 0.000 0.000 0.000
2 Hf 0.333 0.667 0.667
3 Hf 0.667 0.333 0.333
4 Zn 0.000 0.000 0.100
5 Zn 0.000 0.000 0.900
6 Zn 0.333 0.667 0.567
7 Zn 0.333 0.667 0.766
8 Zn 0.667 0.333 0.234
9 Zn 0.667 0.333 0.433
10 Ni 0.000 0.000 0.500
11 Ni 0.333 0.667 0.167
12 Ni 0.667 0.333 0.833

Properties
space group = R-3m

***

# 2
The following is a PBE calculation of a relaxed HfZn3Ni4 crystal, from Alexandria via LeMat-Bulk.

Lattice parameters (Å, degrees): 8.513 5.634 4.364 90.00 90.00 90.00
Positions (direct):
1 Hf 0.000 0.000 0.000
2 Hf 0.500 0.000 0.000
3 Zn 0.000 0.500 0.000
4 Zn 0.250 0.000 0.446
5 Zn 0.250 0.500 0.413
6 Zn 0.500 0.500 0.000
7 Zn 0.750 0.000 0.554
8 Zn 0.750 0.500 0.587
9 Ni 0.000 0.263 0.500
10 Ni 0.000 0.737 0.500
11 Ni 0.250 0.269 0.909
12 Ni 0.250 0.731 0.909
13 Ni 0.500 0.263 0.500
14 Ni 0.500 0.737 0.500
15 Ni 0.750 0.269 0.091
16 Ni 0.750 0.731 0.091

Properties
space group = Pmma

***

# 3
The following is a PBE calculation of a relaxed Hf3Zn2Ni8 crystal, from Alexandria via LeMat-Bulk.

Lattice parameters (Å, degrees): 9.688 9.688 9.688 28.59 28.59 28.59
Positions (direct):
1 Hf 0.000 0.000 0.000
2 Hf 0.190 0.190 0.190
3 Hf 0.810 0.810 0.810
4 Zn 0.365 0.365 0.365
5 Zn 0.635 0.635 0.635
6 Ni 0.227 0.734 0.734
7 Ni 0.266 0.266 0.773
8 Ni 0.266 0.773 0.266
9 Ni 0.281 0.281 0.281
10 Ni 0.719 0.719 0.719
11 Ni 0.734 0.227 0.734
12 Ni 0.734 0.734 0.227
13 Ni 0.773 0.266 0.266

Properties
space group = R-3m

***

# 4
The following is a PBE calculation of a relaxed Hf2Zn3Ni crystal, from Alexandria via LeMat-Bulk.

Lattice parameters (Å, degrees): 3.077 4.287 7.421 90.00 90.00 90.00
Positions (direct):
1 Hf 0.000 0.000 0.000
2 Hf 0.000 0.500 0.452
3 Zn 0.500 0.000 0.640
4 Zn 0.500 0.500 0.136
5 Zn 0.500 0.500 0.802
6 Ni 0.500 0.000 0.307

Properties
space group = Pmm2

***

# 5
The following is a PBE calculation of a relaxed Hf3ZnNi crystal, from Alexandria via LeMat-Bulk.

Lattice parameters (Å, degrees): 4.780 4.780 4.780 90.00 90.00 90.00
Positions (direct):
1 Hf 0.000 0.000 0.500
2 Hf 0.000 0.500 0.000
3 Hf 0.500 0.000 0.000
4 Zn 0.500 0.500 0.500
5 Ni 0.000 0.000 0.000

Properties
space group = Pm-3m

***

# 6
The following is a PBE calculation of a relaxed HfZnNi crystal, from Alexandria via LeMat-Bulk.

Lattice parameters (Å, degrees): 3.259 3.259 8.720 90.00 90.00 90.00
Positions (direct):
1 Hf 0.000 0.000 0.000
2 Hf 0.500 0.500 0.500
3 Zn 0.000 0.000 0.686
4 Zn 0.500 0.500 0.186
5 Ni 0.000 0.000 0.330
6 Ni 0.500 0.500 0.830

Properties
space group = I4mm

***

| no. | total energy (eV/f.u.) | energy of formation (eV per atom) | size of the total moment (μB/cell) |
| --- | --- | --- | --- |
| 1 | -17.2 | 0.26 | 0.0 |
| 2 | -39.5 | -0.32 | 0.0 |
| 3 | -81.4 | -0.21 | 0.0 |
| 4 | -31.1 | -0.27 | 0.0 |
| 5 | -35.5 | 0.29 | 0.0 |
| 6 | -17.9 | -0.28 | 0.0 |